# 1
The following is a GGA-PBE calculation of CrGeAs3 after structural relaxation, from the Alexandria database.

abc: 4.694 4.694 4.694
angles: 90.00 90.00 90.00
Element x y z (fractional)
Cr 0.000 0.000 0.000
Ge 0.500 0.500 0.500
As 0.000 0.000 0.500
As 0.000 0.500 0.000
As 0.500 0.000 0.000

Output
Uncorrected energy ... -5.171 eV/atom
Space-group type ... No. 221
Excess energy over the best structure of this formula in the dataset ... 0.000 eV/atom
ΔH_f (0 K) ... 0.47 eV/atom
V ... 103.4 Å³/cell
M_tot ... 1.40 Bohr magnetons per cell

# 2
The following is a GGA-PBE calculation of Cr2Ge2As after structural relaxation, from the Alexandria database.

abc: 6.568 6.568 3.379
angles: 90.00 90.00 90.00
Element x y z (fractional)
Cr 0.157 0.343 0.000
Cr 0.343 0.843 0.000
Cr 0.657 0.157 0.000
Cr 0.843 0.657 0.000
Ge 0.142 0.642 0.500
Ge 0.358 0.142 0.500
Ge 0.642 0.858 0.500
Ge 0.858 0.358 0.500
As 0.000 0.000 0.000
As 0.500 0.500 0.000

Output
Uncorrected energy ... -6.435 eV/atom
Space-group type ... No. 127
Excess energy over the best structure of this formula in the dataset ... 0.000 eV/atom
ΔH_f (0 K) ... 0.19 eV/atom
V ... 145.8 Å³/cell
M_tot ... 1.36 Bohr magnetons per cell

# 3
The following is a GGA-PBE calculation of CrGe3As after structural relaxation, from the Alexandria database.

abc: 4.905 4.905 4.905
angles: 90.00 90.00 90.00
Element x y z (fractional)
Cr 0.000 0.000 0.000
Ge 0.000 0.500 0.500
Ge 0.500 0.000 0.500
Ge 0.500 0.500 0.000
As 0.500 0.500 0.500

Output
Uncorrected energy ... -4.171 eV/atom
Space-group type ... No. 221
Excess energy over the best structure of this formula in the dataset ... 0.995 eV/atom
ΔH_f (0 K) ... 1.45 eV/atom
V ... 118.0 Å³/cell
M_tot ... 0.47 Bohr magnetons per cell

# 4
The following is a GGA-PBE calculation of CrGe2As after structural relaxation, from the Alexandria database.

abc: 6.789 6.789 6.789
angles: 127.70 127.70 77.11
Element x y z (fractional)
Cr 0.000 0.000 0.000
Cr 0.750 0.250 0.500
Ge 0.125 0.625 0.000
Ge 0.375 0.375 0.500
Ge 0.625 0.125 0.000
Ge 0.875 0.875 0.500
As 0.250 0.750 0.500
As 0.500 0.500 0.000

Output
Uncorrected energy ... -5.435 eV/atom
Space-group type ... No. 122
ΔH_f (0 K) ... 0.44 eV/atom
V ... 190.1 Å³/cell
M_tot ... 6.00 Bohr magnetons per cell

# 5
The following is a GGA-PBE calculation of CrHgGeAs2 after structural relaxation, from the Alexandria database.

abc: 4.953 4.953 4.679
angles: 90.00 90.00 90.00
Element x y z (fractional)
Cr 0.000 0.000 0.000
Hg 0.500 0.500 0.000
Ge 0.000 0.000 0.500
As 0.000 0.500 0.500
As 0.500 0.000 0.500

Output
Uncorrected energy ... -3.703 eV/atom
Space-group type ... No. 123
ΔH_f (0 K) ... 1.07 eV/atom
V ... 114.8 Å³/cell
M_tot ... 0.27 Bohr magnetons per cell

# 6
The following is a GGA-PBE calculation of NaCrGeAs2 after structural relaxation, from the Alexandria database.

abc: 4.684 4.684 5.284
angles: 90.00 90.00 90.00
Element x y z (fractional)
Na 0.000 0.000 0.000
Cr 0.000 0.000 0.500
Ge 0.500 0.500 0.000
As 0.000 0.500 0.500
As 0.500 0.000 0.500

Output
Uncorrected energy ... -4.486 eV/atom
Space-group type ... No. 123
ΔH_f (0 K) ... 0.49 eV/atom
V ... 116.0 Å³/cell
M_tot ... 2.62 Bohr magnetons per cell

# 7
The following is a GGA-PBE calculation of CrGeAs2Se after structural relaxation, from the Alexandria database.

abc: 4.857 4.857 4.893
angles: 90.00 90.00 90.00
Element x y z (fractional)
Cr 0.000 0.000 0.000
Ge 0.500 0.500 0.500
As 0.000 0.500 0.500
As 0.500 0.000 0.500
Se 0.500 0.500 0.000

Output
Uncorrected energy ... -4.127 eV/atom
Space-group type ... No. 123
Excess energy over the best structure of this formula in the dataset ... 0.871 eV/atom
ΔE_f (raw) ... 1.28 eV/atom
V ... 115.4 Å³/cell
M_tot ... 0.33 Bohr magnetons per cell

# 8
The following is a GGA-PBE calculation of CrGeAs2Se after structural relaxation, from the Alexandria database.

abc: 4.544 4.544 5.369
angles: 90.00 90.00 90.00
Element x y z (fractional)
Cr 0.000 0.000 0.000
Ge 0.500 0.500 0.500
As 0.000 0.500 0.000
As 0.500 0.000 0.000
Se 0.000 0.000 0.500

Output
Uncorrected energy ... -4.998 eV/atom
Space-group type ... No. 123
Excess energy over the best structure of this formula in the dataset ... 0.000 eV/atom
ΔE_f (raw) ... 0.41 eV/atom
V ... 110.9 Å³/cell
M_tot ... 1.56 Bohr magnetons per cell

# 9
The following is a GGA-PBE calculation of CrSi2GeAs after structural relaxation, from the Alexandria database.

abc: 4.825 4.825 4.672
angles: 90.00 90.00 90.00
Element x y z (fractional)
Cr 0.000 0.000 0.000
Si 0.000 0.500 0.500
Si 0.500 0.000 0.500
Ge 0.500 0.500 0.000
As 0.000 0.000 0.500

Output
Uncorrected energy ... -4.955 eV/atom
Space-group type ... No. 123
ΔE_f (raw) ... 0.99 eV/atom
V ... 108.8 Å³/cell
M_tot ... 3.50 Bohr magnetons per cell

# 10
The following is a GGA-PBE calculation of CrSnGeAs2 after structural relaxation, from the Alexandria database.

abc: 4.749 4.749 4.750
angles: 90.00 90.00 90.00
Element x y z (fractional)
Cr 0.000 0.000 0.000
Sn 0.500 0.500 0.500
Ge 0.000 0.000 0.500
As 0.000 0.500 0.000
As 0.500 0.000 0.000

Output
Uncorrected energy ... -5.200 eV/atom
Space-group type ... No. 123
ΔH_f (0 K) ... 0.31 eV/atom
V ... 107.1 Å³/cell
M_tot ... 1.25 Bohr magnetons per cell

# 11
The following is a GGA-PBE calculation of ZnCrGe2As after structural relaxation, from the Alexandria database.

abc: 5.026 5.026 4.548
angles: 90.00 90.00 90.00
Element x y z (fractional)
Zn 0.000 0.000 0.000
Cr 0.500 0.500 0.000
Ge 0.000 0.500 0.500
Ge 0.500 0.000 0.500
As 0.000 0.000 0.500

Output
Uncorrected energy ... -3.615 eV/atom
Space-group type ... No. 123
ΔH_f (0 K) ... 1.34 eV/atom
V ... 114.9 Å³/cell
M_tot ... 0.41 Bohr magnetons per cell

# 12
The following is a GGA-PBE calculation of Cr3AsH after structural relaxation, from the Alexandria database.

abc: 3.739 3.739 3.739
angles: 90.00 90.00 90.00
Element x y z (fractional)
Cr 0.000 0.000 0.500
Cr 0.000 0.500 0.000
Cr 0.500 0.000 0.000
As 0.500 0.500 0.500
H 0.000 0.000 0.000

Output
Uncorrected energy ... -7.273 eV/atom
Space-group type ... No. 221
Excess energy over the best structure of this formula in the dataset ... 0.000 eV/atom
V ... 52.3 Å³/cell
M_tot ... 3.93 Bohr magnetons per cell